Record 1
The following is a GGA-PBE calculation of an optimized crystal structure of V2InH, from Alexandria via LeMat-Bulk.

abc: 6.128 6.128 6.128
angles: 90.00 90.00 90.00
Space group Fm-3m (No. 225)
Symmetry-distinct sites (fractional):
V 0.250 0.250 0.250 x8
In 0.000 0.000 0.000 x4
H 0.000 0.000 0.500 x4

Computed properties:
The calculation puts the spin magnetization at 0.002 μB per formula unit. The total energy is -82.50 eV/cell. Its crystal system is cubic.

=====

Record 2
The following is a GGA-PBE calculation of an optimized crystal structure of YVIn2H, from Alexandria via LeMat-Bulk.

abc: 4.581 4.581 4.328
angles: 90.00 90.00 90.00
Space group P4/mmm (No. 123)
Symmetry-distinct sites (fractional):
Y 0.000 0.000 0.000 x1
V 0.500 0.500 0.000 x1
In 0.000 0.500 0.500 x2
H 0.000 0.000 0.500 x1

Computed properties:
The calculation puts the spin magnetization at 0.000 μB per formula unit. The total energy is -23.79 eV/cell. Its crystal system is tetragonal.

=====

Record 3
The following is a GGA-PBE calculation of an optimized crystal structure of Zr2VInH, from Alexandria via LeMat-Bulk.

abc: 4.556 4.556 3.954
angles: 90.00 90.00 90.00
Space group P4/mmm (No. 123)
Symmetry-distinct sites (fractional):
Zr 0.000 0.500 0.000 x2
V 0.000 0.000 0.500 x1
In 0.500 0.500 0.500 x1
H 0.000 0.000 0.000 x1

Computed properties:
The calculation puts the spin magnetization at 0.849 μB per formula unit. The total energy is -33.28 eV/cell. Its crystal system is tetragonal.

=====

Record 4
The following is a GGA-PBE calculation of an optimized crystal structure of ZrV2InH, from Alexandria via LeMat-Bulk.

abc: 4.074 4.074 4.369
angles: 90.00 90.00 90.00
Space group P4/mmm (No. 123)
Symmetry-distinct sites (fractional):
Zr 0.000 0.000 0.000 x1
V 0.000 0.500 0.500 x2
In 0.500 0.500 0.000 x1
H 0.000 0.000 0.500 x1

Computed properties:
The calculation puts the spin magnetization at 0.327 μB per formula unit. The total energy is -32.94 eV/cell. Its crystal system is tetragonal.

=====

Record 5
The following is a GGA-PBE calculation of an optimized crystal structure of InHW3, from Alexandria via LeMat-Bulk.

abc: 4.125 4.125 4.125
angles: 90.00 90.00 90.00
Space group Pm-3m (No. 221)
Symmetry-distinct sites (fractional):
In 0.000 0.000 0.000 x1
H 0.500 0.500 0.500 x1
W 0.000 0.500 0.500 x3

Computed properties:
The calculation puts the spin magnetization at 0.000 μB per formula unit. The total energy is -42.30 eV/cell. Its crystal system is cubic.

=====

Record 6
The following is a GGA-PBE calculation of an optimized crystal structure of InHW3, from Alexandria via LeMat-Bulk.

abc: 4.923 4.923 4.923
angles: 90.00 90.00 90.00
Space group Pm-3m (No. 221)
Symmetry-distinct sites (fractional):
In 0.000 0.000 0.000 x1
H 0.500 0.500 0.500 x1
W 0.000 0.000 0.500 x3

Computed properties:
The calculation puts the spin magnetization at 0.000 μB per formula unit. The total energy is -26.20 eV/cell. Its crystal system is cubic.

=====

Record 7
The following is a GGA-PBE calculation of an optimized crystal structure of InHW2, from Alexandria via LeMat-Bulk.

abc: 5.389 5.389 8.649
angles: 90.00 90.00 90.00
Space group I4_1/amd (No. 141, origin choice 2)
Symmetry-distinct sites (fractional):
In 0.000 0.250 0.375 x4
H 0.000 0.250 0.875 x4
W 0.000 0.000 0.000 x8

Computed properties:
The calculation puts the spin magnetization at 0.000 μB per formula unit. The total energy is -115.46 eV/cell. Its crystal system is tetragonal.

=====

Record 8
The following is a GGA-PBE calculation of an optimized crystal structure of InHW, from Alexandria via LeMat-Bulk.

abc: 17.878 3.192 3.180
angles: 90.00 98.23 90.00
Space group Cm (No. 8)
Symmetry-distinct sites (fractional):
In 0.000 0.000 0.000 x2
In 0.148 0.000 0.659 x2
H 0.230 0.500 0.164 x2
H 0.383 0.500 0.575 x2
W 0.286 0.500 0.712 x2
W 0.373 0.000 0.260 x2

Computed properties:
The calculation puts the spin magnetization at 0.000 μB per formula unit. The total energy is -72.66 eV/cell. Its crystal system is monoclinic.

=====

Record 9
The following is a GGA-PBE calculation of an optimized crystal structure of InHW2, from Alexandria via LeMat-Bulk.

abc: 6.248 6.248 6.248
angles: 90.00 90.00 90.00
Space group Fm-3m (No. 225)
Symmetry-distinct sites (fractional):
In 0.000 0.000 0.000 x4
H 0.000 0.000 0.500 x4
W 0.250 0.250 0.250 x8

Computed properties:
The calculation puts the spin magnetization at 0.000 μB per formula unit. The total energy is -103.48 eV/cell. Its crystal system is cubic.

=====

Record 10
The following is a GGA-PBE calculation of an optimized crystal structure of InHW, from Alexandria via LeMat-Bulk.

abc: 3.021 3.212 9.368
angles: 90.00 91.84 90.00
Space group P2_1/m (No. 11)
Symmetry-distinct sites (fractional):
In 0.238 0.250 0.369 x2
H 0.282 0.250 0.796 x2
W 0.190 0.750 0.088 x2

Computed properties:
The calculation puts the spin magnetization at 0.000 μB per formula unit. The total energy is -36.39 eV/cell. Its crystal system is monoclinic.

=====

Record 11
The following is a GGA-PBE calculation of an optimized crystal structure of InHW, from Alexandria via LeMat-Bulk.

abc: 4.894 3.206 11.279
angles: 90.00 99.58 90.00
Space group C2/m (No. 12)
Symmetry-distinct sites (fractional):
In 0.169 0.000 0.363 x4
H 0.162 0.500 0.174 x4
W 0.214 0.500 0.905 x4

Computed properties:
The calculation puts the spin magnetization at 0.000 μB per formula unit. The total energy is -73.06 eV/cell. Its crystal system is monoclinic.

=====

Record 12
The following is a GGA-PBE calculation of an optimized crystal structure of InHW, from Alexandria via LeMat-Bulk.

abc: 18.296 3.103 3.110
angles: 90.00 98.72 90.00
Space group C2/m (No. 12)
Symmetry-distinct sites (fractional):
In 0.078 0.000 0.167 x4
H 0.201 0.000 0.044 x4
W 0.202 0.500 0.686 x4

Computed properties:
The calculation puts the spin magnetization at 0.000 μB per formula unit. The total energy is -72.60 eV/cell. Its crystal system is monoclinic.

=====

Record 13
The following is a GGA-PBE calculation of an optimized crystal structure of In3HW, from Alexandria via LeMat-Bulk.

abc: 5.340 5.340 5.340
angles: 90.00 90.00 90.00
Space group Pm-3m (No. 221)
Symmetry-distinct sites (fractional):
In 0.000 0.000 0.500 x3
H 0.500 0.500 0.500 x1
W 0.000 0.000 0.000 x1

Computed properties:
The calculation puts the spin magnetization at 1.255 μB per formula unit. The total energy is -18.99 eV/cell. Its crystal system is cubic.

=====

Record 14
The following is a GGA-PBE calculation of an optimized crystal structure of InHW, from Alexandria via LeMat-Bulk.

abc: 3.1047 3.1047 30.3705
angles: 90.00 90.00 120.00
Space group R3m (No. 160, hexagonal axes)
Symmetry-distinct sites (fractional):
In 0.0000 0.0000 0.0000 x3
In 0.0000 0.0000 0.0964 x3
H 0.0000 0.0000 0.2680 x3
H 0.0000 0.0000 0.4921 x3
W 0.0000 0.0000 0.5832 x3
W 0.0000 0.0000 0.8480 x3

Computed properties:
The calculation puts the spin magnetization at 0.000 μB per formula unit. The total energy is -109.97 eV/cell. Its crystal system is trigonal.

=====

Record 15
The following is a GGA-PBE calculation of an optimized crystal structure of InHW, from Alexandria via LeMat-Bulk.

abc: 5.424 3.113 10.215
angles: 90.00 99.97 90.00
Space group C2/m (No. 12)
Symmetry-distinct sites (fractional):
In 0.050 0.000 0.145 x4
H 0.050 0.500 0.654 x4
W 0.201 0.000 0.603 x4

Computed properties:
The calculation puts the spin magnetization at 0.000 μB per formula unit. The total energy is -73.72 eV/cell. Its crystal system is monoclinic.

=====

Record 16
The following is a GGA-PBE calculation of an optimized crystal structure of InHW, from Alexandria via LeMat-Bulk.

abc: 4.587 4.197 9.355
angles: 90.00 103.73 90.00
Space group C2/m (No. 12)
Symmetry-distinct sites (fractional):
In 0.002 0.000 0.345 x4
H 0.197 0.500 0.101 x4
W 0.220 0.500 0.907 x4

Computed properties:
The calculation puts the spin magnetization at 0.000 μB per formula unit. The total energy is -72.62 eV/cell. Its crystal system is monoclinic.

=====

Record 17
The following is a GGA-PBE calculation of an optimized crystal structure of In3HW, from Alexandria via LeMat-Bulk.

abc: 4.444 4.444 4.444
angles: 90.00 90.00 90.00
Space group Pm-3m (No. 221)
Symmetry-distinct sites (fractional):
In 0.000 0.000 0.500 x3
H 0.000 0.000 0.000 x1
W 0.500 0.500 0.500 x1

Computed properties:
The calculation puts the spin magnetization at 1.846 μB per formula unit. The total energy is -20.67 eV/cell. Its crystal system is cubic.

=====

Record 18
The following is a GGA-PBE calculation of an optimized crystal structure of InHW, from Alexandria via LeMat-Bulk.

abc: 4.922 3.198 11.063
angles: 90.00 91.07 90.00
Space group C2/m (No. 12)
Symmetry-distinct sites (fractional):
In 0.026 0.000 0.360 x4
H 0.097 0.500 0.172 x4
W 0.248 0.000 0.097 x4

Computed properties:
The calculation puts the spin magnetization at 0.000 μB per formula unit. The total energy is -73.19 eV/cell. Its crystal system is monoclinic.

=====

Record 19
The following is a GGA-PBE calculation of an optimized crystal structure of InHW, from Alexandria via LeMat-Bulk.

abc: 3.197 4.924 11.019
angles: 90.00 91.43 90.00
Space group C2 (No. 5)
Symmetry-distinct sites (fractional):
In 0.188 0.000 0.137 x4
H 0.235 0.581 0.326 x4
W 0.242 0.235 0.403 x4

Computed properties:
The calculation puts the spin magnetization at 0.000 μB per formula unit. The total energy is -73.07 eV/cell. Its crystal system is monoclinic.

=====

Record 20
The following is a GGA-PBE calculation of an optimized crystal structure of InHW, from Alexandria via LeMat-Bulk.

abc: 3.1440 3.1440 29.1631
angles: 90.00 90.00 120.00
Space group R-3m (No. 166, hexagonal axes)
Symmetry-distinct sites (fractional):
In 0.0000 0.0000 0.2126 x6
H 0.0000 0.0000 0.0521 x6
W 0.0000 0.0000 0.3686 x6

Computed properties:
The calculation puts the spin magnetization at 0.000 μB per formula unit. The total energy is -110.44 eV/cell. Its crystal system is trigonal.